# PRuRh2

PRuRh2 after structural relaxation (PBE, Alexandria via LeMat-Bulk). Values from VASP.

E_form = -21 meV per atom
DOS(E_F) = 4.072 states/eV/f.u.

Cell and atoms, written as Quantum ESPRESSO input:
```
&SYSTEM
  ibrav = 0, nat = 4, ntyp = 3
/
ATOMIC_SPECIES
Rh 102.91 Rh.upf
P 30.97 P.upf
Ru 101.07 Ru.upf
CELL_PARAMETERS angstrom
-3.680 -0.760 0.029
0.489 -2.471 -2.788
0.598 -2.795 2.582
ATOMIC_POSITIONS crystal
Rh 0.500 0.000 0.000
Rh 0.000 0.500 0.000
P 0.000 0.000 0.500
Ru 0.500 0.500 0.500
```